VASP calculation (PBE) on crystalline BaCaBe2 at its relaxed geometry.

Structure (POSCAR):
```
BaCaBe2
1.0
3.311 0.000 0.000
0.000 3.311 0.000
0.000 0.000 9.001
Ba Ca Be
1 1 2
Cartesian
0.000 0.000 0.000 Ba
1.656 1.656 5.344 Ca
0.000 0.000 3.216 Be
1.656 1.656 2.475 Be
```

## Properties
Magnetic moment, Bohr magnetons per cell: 0.00
DOS at the Fermi energy, states/eV per cell: 3.05
Offset from the most stable computed form, meV/atom: 244
Calculated formation energy, meV/atom: 551.3
Space group: P4mm